Entry 1:
## YPdS2 (PBE)

Data for YPdS2 after structural relaxation.

For the formation energy from raw total energies, the calculation gives -1059 meV per atom. For the volume, the calculation gives 19.70 Å³ per atom. The value obtained for the theoretical density is 5.5 Mg/m³. The calculation puts the total energy at -6.04 eV/atom.

It has space group R3m (No. 160, hexagonal axes), with a = 3.8737 Å, b = 3.8737 Å, c = 18.1895 Å, α = 90.00°, β = 90.00° and γ = 120.00°. Symmetry generates all atoms from Y at (0.0000, 0.0000, 0.0000), Pd at (0.0000, 0.0000, 0.8221), S at (0.0000, 0.0000, 0.2435) and S at (0.0000, 0.0000, 0.4207).



Entry 2:
## La2PmBe (PBE)

Data for La2PmBe after structural relaxation.

The value obtained for the formation enthalpy at 0 K is 0.5 eV/f.u. For the volume, the calculation gives 29.52 Å³ per atom. The value obtained for the theoretical density is 6.1 Mg/m³. The calculation puts the total energy at -4.46 eV/atom.

It has space group P4/mmm (No. 123), with a = 3.675 Å, b = 3.675 Å, c = 8.742 Å, α = 90.00°, β = 90.00° and γ = 90.00°. Symmetry generates all atoms from La at (0.000, 0.000, 0.192), Pm at (0.500, 0.500, 0.500) and Be at (0.500, 0.500, 0.000).



Entry 3:
## ScTiFeNi (PBE)

Data for ScTiFeNi after structural relaxation.

The value obtained for the formation enthalpy at 0 K is -1.2 eV/f.u. For the volume, the calculation gives 14.29 Å³ per atom. The value obtained for the theoretical density is 6.0 Mg/m³. The calculation puts the total energy at -7.42 eV/atom.

It has space group F-43m (No. 216), with a = 6.114 Å, b = 6.114 Å, c = 6.114 Å, α = 90.00°, β = 90.00° and γ = 90.00°. Symmetry generates all atoms from Sc at (0.000, 0.000, 0.000), Ti at (0.000, 0.000, 0.500), Fe at (0.250, 0.250, 0.750) and Ni at (0.250, 0.250, 0.250).



Entry 4:
## TaBeCu (PBE)

Data for TaBeCu after structural relaxation.

The value obtained for the formation enthalpy at 0 K is 0.3 eV/f.u. For the volume, the calculation gives 13.20 Å³ per atom. The value obtained for the theoretical density is 10.6 Mg/m³. The calculation puts the total energy at -6.46 eV/atom.

It has space group Pnma (No. 62), with a = 5.530 Å, b = 3.711 Å, c = 7.718 Å, α = 90.00°, β = 90.00° and γ = 90.00°. Symmetry generates all atoms from Ta at (0.142, 0.250, 0.089), Be at (0.085, 0.250, 0.736) and Cu at (0.122, 0.250, 0.419).



Entry 5:
## Ac2YRh3O12 (PBE)

Data for Ac2YRh3O12 after structural relaxation.

For the formation energy from raw total energies, the calculation gives -1683 meV per atom. For the volume, the calculation gives 13.30 Å³ per atom. The value obtained for the theoretical density is 7.2 Mg/m³. The calculation puts the total energy at -7.03 eV/atom.

It has space group R-3m (No. 166, hexagonal axes), with a = 7.1831 Å, b = 7.1831 Å, c = 16.0688 Å, α = 90.00°, β = 90.00° and γ = 120.00°. Symmetry generates all atoms from Ac at (0.0000, 0.0000, 0.1136), Y at (0.0000, 0.0000, 0.5000), Rh at (0.0000, 0.5000, 0.0000), O at (0.0516, 0.5258, 0.8806) and O at (0.0580, 0.5290, 0.3034).



Entry 6:
## RbHoBO4 (PBE)

Data for RbHoBO4 after structural relaxation.

For the formation energy from raw total energies, the calculation gives -2441 meV per atom. For the volume, the calculation gives 14.92 Å³ per atom. The value obtained for the theoretical density is 5.2 Mg/m³. The calculation puts the total energy at -7.02 eV/atom.

It has space group P2_1/m (No. 11), with a = 5.270 Å, b = 5.507 Å, c = 7.596 Å, α = 90.00°, β = 108.66° and γ = 90.00°. Symmetry generates all atoms from Rb at (0.212, 0.250, 0.433), Ho at (0.279, 0.250, 0.959), B at (0.278, 0.750, 0.159), O at (0.105, 0.750, 0.959), O at (0.111, 0.750, 0.280) and O at (0.453, 0.533, 0.179).



Entry 7:
## AcTl2SnTe4 (PBE)

Data for AcTl2SnTe4 after structural relaxation.

For the formation energy from raw total energies, the calculation gives -657 meV per atom. For the volume, the calculation gives 37.53 Å³ per atom. The value obtained for the theoretical density is 7.0 Mg/m³. The calculation puts the total energy at -3.83 eV/atom.

It has space group P2/m (No. 10), with a = 8.187 Å, b = 4.646 Å, c = 8.358 Å, α = 90.00°, β = 109.17° and γ = 90.00°. Symmetry generates all atoms from Ac at (0.000, 0.000, 0.000), Tl at (0.000, 0.500, 0.500), Tl at (0.500, 0.000, 0.500), Sn at (0.500, 0.500, 0.000), Te at (0.256, 0.500, 0.231) and Te at (0.268, 0.000, 0.774).



Entry 8:
## PaGa6I12 (PBE)

Data for PaGa6I12 after structural relaxation.

For the formation energy from raw total energies, the calculation gives -487 meV per atom. For the volume, the calculation gives 42.86 Å³ per atom. The value obtained for the theoretical density is 4.4 Mg/m³. The calculation puts the total energy at -2.92 eV/atom.

It has space group R-3 (No. 148, hexagonal axes), with a = 14.2636 Å, b = 14.2636 Å, c = 13.8669 Å, α = 90.00°, β = 90.00° and γ = 120.00°. Symmetry generates all atoms from Pa at (0.0000, 0.0000, 0.0000), Ga at (0.0081, 0.2333, 0.4036), I at (0.0071, 0.1725, 0.1236) and I at (0.0106, 0.2003, 0.6229).